The following is a PBE calculation of a relaxed Be2HgCl crystal, from Alexandria via LeMat-Bulk.

a b c (Å): 3.079 3.079 7.716
angles (deg): 90.00 90.00 90.00
Fractional positions:
Be1 0.000 0.000 0.204
Be2 0.500 0.500 0.078
Hg1 0.500 0.500 0.766
Cl1 0.000 0.000 0.452

- Density: 5.8 Mg/m³
- Uncorrected formation energy: 0.52 eV/f.u.
- E above lowest polymorph: 110 meV per atom
- Calculated volume: 73.2 Å³ per cell